Record 1
Entry from Alexandria: a relaxed Sc2BeCdB crystal (PBE-GGA).

Computed properties:
Crystal system = tetragonal
E_form = -0.135 eV/atom

CIF file:
```
data_Sc2BeCdB
_space_group_name_H-M_alt 'P 4/m m m'
_space_group_IT_number 123
_space_group_name_Hall '-P 4 2'
_cell_length_a 4.7761
_cell_length_b 4.7761
_cell_length_c 3.7337
_cell_angle_alpha 90.00
_cell_angle_beta 90.00
_cell_angle_gamma 90.00
loop_
_atom_site_label
_atom_site_fract_x
_atom_site_fract_y
_atom_site_fract_z
Sc1 0.0000 0.5000 0.0000
Be1 0.0000 0.0000 0.5000
Cd1 0.5000 0.5000 0.5000
B1 0.0000 0.0000 0.0000
```

=====

Record 2
Entry from Alexandria: a relaxed MgHgPt crystal (PBE-GGA).

Computed properties:
Crystal system = trigonal
E_form = -0.318 eV/atom
Excess energy over the best structure of this formula in the dataset = 2.836 kcal/mol of atoms

CIF file:
```
data_MgHgPt
_space_group_name_H-M_alt 'P 3 m 1'
_space_group_IT_number 156
_cell_length_a 4.6026
_cell_length_b 4.6026
_cell_length_c 2.9856
_cell_angle_alpha 90.00
_cell_angle_beta 90.00
_cell_angle_gamma 120.00
loop_
_space_group_symop_operation_xyz
'x,y,z'
'-y,x-y,z'
'-x+y,-x,z'
'-y,-x,z'
'-x+y,y,z'
'x,x-y,z'
loop_
_atom_site_label
_atom_site_fract_x
_atom_site_fract_y
_atom_site_fract_z
Mg1 0.0000 0.0000 0.0000
Hg1 0.3333 0.6667 0.6321
Pt1 0.6667 0.3333 0.3226
```

=====

What did the second record say?
Entry from Alexandria: a relaxed MgHgPt crystal (PBE-GGA).

Computed properties:
Crystal system = trigonal
E_form = -0.318 eV/atom
Excess energy over the best structure of this formula in the dataset = 2.836 kcal/mol of atoms

CIF file:
```
data_MgHgPt
_space_group_name_H-M_alt 'P 3 m 1'
_space_group_IT_number 156
_cell_length_a 4.6026
_cell_length_b 4.6026
_cell_length_c 2.9856
_cell_angle_alpha 90.00
_cell_angle_beta 90.00
_cell_angle_gamma 120.00
loop_
_space_group_symop_operation_xyz
'x,y,z'
'-y,x-y,z'
'-x+y,-x,z'
'-y,-x,z'
'-x+y,y,z'
'x,x-y,z'
loop_
_atom_site_label
_atom_site_fract_x
_atom_site_fract_y
_atom_site_fract_z
Mg1 0.0000 0.0000 0.0000
Hg1 0.3333 0.6667 0.6321
Pt1 0.6667 0.3333 0.3226
```

=====

Repeat the second record exactly.
Entry from Alexandria: a relaxed MgHgPt crystal (PBE-GGA).

Computed properties:
Crystal system = trigonal
E_form = -0.318 eV/atom
Excess energy over the best structure of this formula in the dataset = 2.836 kcal/mol of atoms

CIF file:
```
data_MgHgPt
_space_group_name_H-M_alt 'P 3 m 1'
_space_group_IT_number 156
_cell_length_a 4.6026
_cell_length_b 4.6026
_cell_length_c 2.9856
_cell_angle_alpha 90.00
_cell_angle_beta 90.00
_cell_angle_gamma 120.00
loop_
_space_group_symop_operation_xyz
'x,y,z'
'-y,x-y,z'
'-x+y,-x,z'
'-y,-x,z'
'-x+y,y,z'
'x,x-y,z'
loop_
_atom_site_label
_atom_site_fract_x
_atom_site_fract_y
_atom_site_fract_z
Mg1 0.0000 0.0000 0.0000
Hg1 0.3333 0.6667 0.6321
Pt1 0.6667 0.3333 0.3226
```

=====

Question: Which value of E_form does entry 2 give?
Answer: -0.318 eV/atom